# Ho5TmPt2 (PBE, optimized geometry)
# E_form: -0.60 eV per atom
# total moment: 0.00 μB per formula unit
# electronic total energy: -44.25 eV/f.u.
data_Ho5TmPt2
_cell_length_a 4.081
_cell_length_b 7.407
_cell_length_c 15.028
_cell_angle_alpha 90.00
_cell_angle_beta 90.00
_cell_angle_gamma 90.00
_space_group_name_H-M_alt 'I m m m'
_space_group_IT_number 71
_space_group_name_Hall '-I 2 2'
loop_
_atom_site_label
_atom_site_fract_x
_atom_site_fract_y
_atom_site_fract_z
Ho1 0.000 0.000 0.000
Ho2 0.000 0.250 0.349
Tm1 0.000 0.500 0.000
Pt1 0.000 0.000 0.198

# ScSiI2 (PBE, optimized geometry)
# total moment: 0.00 μB per formula unit
# electronic total energy: -14.28 eV/f.u.
# formation energy without anion corrections: 55 kJ/mol of formula units
# energy above the most stable polymorph in this dataset: 43 meV per atom
data_ScSiI2
_cell_length_a 8.085
_cell_length_b 8.085
_cell_length_c 7.074
_cell_angle_alpha 90.00
_cell_angle_beta 90.00
_cell_angle_gamma 90.00
_space_group_name_H-M_alt 'I -4 2 d'
_space_group_IT_number 122
_space_group_name_Hall 'I -4 2bw'
loop_
_atom_site_label
_atom_site_fract_x
_atom_site_fract_y
_atom_site_fract_z
Sc1 0.000 0.000 0.000
Si1 0.000 0.000 0.500
I1 0.240 0.250 0.125

# MgVCu (PBE, optimized geometry)
# E_form: 0.20 eV per atom
# total moment: 0.00 μB per formula unit
# electronic total energy: -14.21 eV/f.u.
# energy above the most stable polymorph in this dataset: 89 meV per atom
data_MgVCu
_cell_length_a 5.320
_cell_length_b 7.771
_cell_length_c 4.550
_cell_angle_alpha 90.00
_cell_angle_beta 90.00
_cell_angle_gamma 90.00
_space_group_name_H-M_alt 'I m a 2'
_space_group_IT_number 46
loop_
_space_group_symop_operation_xyz
'x,y,z'
'-x,-y,z'
'-x+1/2,y,z'
'x+1/2,-y,z'
'x+1/2,y+1/2,z+1/2'
'-x+1/2,-y+1/2,z+1/2'
'-x,y+1/2,z+1/2'
'x,-y+1/2,z+1/2'
loop_
_atom_site_label
_atom_site_fract_x
_atom_site_fract_y
_atom_site_fract_z
Mg1 0.250 0.121 0.000
V1 0.250 0.732 0.256
Cu1 0.000 0.000 0.482

# Rb2Ba8MgSb6O2 (PBE, optimized geometry)
# total moment: 0.00 μB per formula unit
# electronic total energy: -75.69 eV/f.u.
# formation energy without anion corrections: -2135 kJ/mol of formula units
# energy above the most stable polymorph in this dataset: 7 meV per atom
data_Rb2Ba8MgSb6O2
_cell_length_a 9.474
_cell_length_b 9.571
_cell_length_c 10.138
_cell_angle_alpha 112.00
_cell_angle_beta 116.20
_cell_angle_gamma 94.24
_space_group_name_H-M_alt 'P 1'
_space_group_IT_number 1
loop_
_space_group_symop_operation_xyz
'x,y,z'
loop_
_atom_site_label
_atom_site_fract_x
_atom_site_fract_y
_atom_site_fract_z
Rb1 0.000 0.000 0.000
Rb2 0.428 0.391 0.883
Ba1 0.004 0.468 0.276
Ba2 0.182 0.950 0.664
Ba3 0.290 0.784 0.286
Ba4 0.492 0.305 0.287
Ba5 0.499 0.683 0.694
Ba6 0.702 0.199 0.699
Ba7 0.863 0.096 0.365
Ba8 0.980 0.549 0.746
Mg1 0.651 0.727 0.186
Sb1 0.133 0.352 0.986
Sb2 0.266 0.217 0.464
Sb3 0.407 0.876 0.021
Sb4 0.608 0.093 0.988
Sb5 0.739 0.769 0.505
Sb6 0.835 0.655 0.031
O1 0.241 0.721 0.489
O2 0.763 0.298 0.521

# NdCu12Si4 (PBE, optimized geometry)
# total moment: 0.00 μB per formula unit
# electronic total energy: -71.20 eV/f.u.
# formation energy without anion corrections: 426 kJ/mol of formula units
data_NdCu12Si4
_cell_length_a 8.144
_cell_length_b 8.144
_cell_length_c 8.144
_cell_angle_alpha 90.00
_cell_angle_beta 90.00
_cell_angle_gamma 90.00
_space_group_name_H-M_alt 'I m -3'
_space_group_IT_number 204
_space_group_name_Hall '-I 2 2 3'
loop_
_atom_site_label
_atom_site_fract_x
_atom_site_fract_y
_atom_site_fract_z
Nd1 0.000 0.000 0.000
Cu1 0.000 0.158 0.353
Si1 0.250 0.250 0.250

# Tb2HfBr (PBE, optimized geometry)
# total moment: 0.00 μB per formula unit
# electronic total energy: -21.11 eV/f.u.
# formation energy without anion corrections: -22 kJ/mol of formula units
data_Tb2HfBr
_cell_length_a 3.3357
_cell_length_b 3.3357
_cell_length_c 33.5817
_cell_angle_alpha 90.00
_cell_angle_beta 90.00
_cell_angle_gamma 120.00
_space_group_name_H-M_alt 'R -3 m'
_space_group_IT_number 166
_space_group_name_Hall '-R 3 2"'
loop_
_atom_site_label
_atom_site_fract_x
_atom_site_fract_y
_atom_site_fract_z
Tb1 0.0000 0.0000 0.0953
Hf1 0.0000 0.0000 0.0000
Br1 0.0000 0.0000 0.5000